[1]
Below is an optimized crystal structure of Na2B3C, with properties calculated at the GGA-PBE level.

Summary:
total energy = -123.81 eV per cell
E above lowest polymorph = 24 meV/atom
crystal system = monoclinic

Unit cell a=9.075 b=9.075 c=10.372 alpha=106.73 beta=106.73 gamma=18.09
Sites, in units of the cell vectors:
Na (0.000, 0.000, 0.000)
Na (0.000, 0.000, 0.500)
Na (0.248, 0.248, 0.124)
Na (0.252, 0.252, 0.626)
Na (0.497, 0.497, 0.748)
Na (0.503, 0.503, 0.252)
Na (0.748, 0.748, 0.374)
Na (0.752, 0.752, 0.876)
B (0.125, 0.125, 0.230)
B (0.125, 0.125, 0.402)
B (0.125, 0.125, 0.728)
B (0.375, 0.375, 0.039)
B (0.375, 0.375, 0.502)
B (0.375, 0.375, 0.864)
B (0.625, 0.625, 0.136)
B (0.625, 0.625, 0.498)
B (0.625, 0.625, 0.961)
B (0.875, 0.875, 0.272)
B (0.875, 0.875, 0.598)
B (0.875, 0.875, 0.770)
C (0.126, 0.126, 0.888)
C (0.375, 0.375, 0.346)
C (0.625, 0.625, 0.654)
C (0.874, 0.874, 0.112)

[2]
Below is an optimized crystal structure of Na4B5C3, with properties calculated at the GGA-PBE level.

Summary:
total energy = -130.71 eV per cell
E above lowest polymorph = 21 meV/atom
crystal system = orthorhombic

Unit cell a=2.834 b=8.509 c=10.044 alpha=90.00 beta=90.00 gamma=90.00
Sites, in units of the cell vectors:
Na (0.000, 0.246, 0.000)
Na (0.000, 0.249, 0.500)
Na (0.000, 0.751, 0.500)
Na (0.000, 0.754, 0.000)
Na (0.500, 0.246, 0.251)
Na (0.500, 0.250, 0.749)
Na (0.500, 0.750, 0.749)
Na (0.500, 0.754, 0.251)
B (0.000, 0.000, 0.335)
B (0.000, 0.000, 0.834)
B (0.000, 0.500, 0.168)
B (0.000, 0.500, 0.671)
B (0.000, 0.500, 0.836)
B (0.500, 0.000, 0.084)
B (0.500, 0.000, 0.585)
B (0.500, 0.500, 0.401)
B (0.500, 0.500, 0.572)
B (0.500, 0.500, 0.937)
C (0.000, 0.000, 0.167)
C (0.000, 0.000, 0.667)
C (0.000, 0.500, 0.327)
C (0.500, 0.000, 0.418)
C (0.500, 0.000, 0.917)
C (0.500, 0.500, 0.091)

[3]
Below is an optimized crystal structure of Na5B8C2, with properties calculated at the GGA-PBE level.

Summary:
total energy = -150.79 eV per cell
E above lowest polymorph = 34 meV/atom
crystal system = monoclinic

Unit cell a=9.069 b=9.069 c=13.348 alpha=113.07 beta=113.07 gamma=18.64
Sites, in units of the cell vectors:
Na (0.000, 0.000, 0.000)
Na (0.000, 0.000, 0.497)
Na (0.199, 0.199, 0.398)
Na (0.202, 0.202, 0.900)
Na (0.400, 0.400, 0.298)
Na (0.400, 0.400, 0.801)
Na (0.599, 0.599, 0.198)
Na (0.602, 0.602, 0.697)
Na (0.798, 0.798, 0.599)
Na (0.801, 0.801, 0.100)
B (0.035, 0.035, 0.817)
B (0.161, 0.161, 0.570)
B (0.166, 0.166, 0.080)
B (0.233, 0.233, 0.715)
B (0.234, 0.234, 0.217)
B (0.366, 0.366, 0.481)
B (0.370, 0.370, 0.989)
B (0.434, 0.434, 0.617)
B (0.564, 0.564, 0.376)
B (0.566, 0.566, 0.880)
B (0.634, 0.634, 0.017)
B (0.766, 0.766, 0.281)
B (0.774, 0.774, 0.797)
B (0.834, 0.834, 0.417)
B (0.966, 0.966, 0.680)
B (0.967, 0.967, 0.183)
C (0.032, 0.032, 0.312)
C (0.435, 0.435, 0.118)
C (0.629, 0.629, 0.506)
C (0.838, 0.838, 0.924)

[4]
Below is an optimized crystal structure of Na2B3C, with properties calculated at the GGA-PBE level.

Summary:
total energy = -154.99 eV per cell
E above lowest polymorph = 16 meV/atom
crystal system = monoclinic

Unit cell a=11.718 b=11.718 c=10.078 alpha=106.57 beta=106.57 gamma=13.84
Sites, in units of the cell vectors:
Na (0.000, 0.000, 0.000)
Na (0.099, 0.099, 0.697)
Na (0.199, 0.199, 0.399)
Na (0.299, 0.299, 0.101)
Na (0.397, 0.397, 0.799)
Na (0.500, 0.500, 0.494)
Na (0.600, 0.600, 0.202)
Na (0.699, 0.699, 0.900)
Na (0.797, 0.797, 0.597)
Na (0.898, 0.898, 0.301)
B (0.014, 0.014, 0.279)
B (0.081, 0.081, 0.410)
B (0.123, 0.123, 0.997)
B (0.191, 0.191, 0.133)
B (0.211, 0.211, 0.671)
B (0.276, 0.276, 0.804)
B (0.378, 0.378, 0.508)
B (0.423, 0.423, 0.100)
B (0.515, 0.515, 0.780)
B (0.579, 0.579, 0.908)
B (0.620, 0.620, 0.488)
B (0.785, 0.785, 0.322)
B (0.818, 0.818, 0.889)
B (0.881, 0.881, 0.016)
B (0.971, 0.971, 0.691)
C (0.316, 0.316, 0.385)
C (0.482, 0.482, 0.218)
C (0.681, 0.681, 0.609)
C (0.722, 0.722, 0.196)
C (0.911, 0.911, 0.572)

In order of appearance, formation enthalpy at 0 K = 0.157; 0.082; 0.205; 0.149 eV per atom.